# 1
The following is a DFT calculation (PBE) of a relaxed Th2CdRe crystal.

Structure (POSCAR):
```
Th2CdRe
1.0
7.3939 0.0000 0.0000
0.0000 7.3939 0.0000
0.0000 0.0000 7.3939
Th Cd Re
8 4 4
Cartesian
1.8485 1.8485 1.8485
1.8485 1.8485 5.5454
1.8485 5.5454 1.8485
1.8485 5.5454 5.5454
5.5454 1.8485 1.8485
5.5454 1.8485 5.5454
5.5454 5.5454 1.8485
5.5454 5.5454 5.5454
0.0000 0.0000 0.0000
0.0000 3.6970 3.6970
3.6970 0.0000 3.6970
3.6970 3.6970 0.0000
0.0000 0.0000 3.6970
0.0000 3.6970 0.0000
3.6970 0.0000 0.0000
3.6970 3.6970 3.6970
```

Calculated values
Density, g/cm³: 12.53
Volume, Å³/atom: 25.264
Magnetization, μB per formula unit: 0.0
DOS(E_F), states/eV/f.u.: 3.77
Calculated formation energy, eV/atom: 0.111
Calculated total energy, eV/cell: -111.04



# 2
The following is a DFT calculation (PBE) of a relaxed Th2CdRe crystal.

Structure (POSCAR):
```
Th2CdRe
1.0
3.3178 0.0000 0.0000
-1.6589 2.8733 0.0000
0.0000 0.0000 33.1294
Th Cd Re
6 3 3
Cartesian
0.0000 0.0000 2.6083
0.0000 0.0000 30.5211
0.0000 1.9155 19.4780
0.0000 1.9155 24.6945
1.6589 0.9578 8.4349
1.6589 0.9578 13.6514
0.0000 0.0000 16.5647
0.0000 1.9155 5.5216
1.6589 0.9578 27.6078
0.0000 0.0000 0.0000
0.0000 1.9155 22.0863
1.6589 0.9578 11.0431
```

Calculated values
Density, g/cm³: 12.03
Volume, Å³/atom: 26.318
Magnetization, μB per formula unit: 0.0
DOS(E_F), states/eV/f.u.: 7.09
Calculated formation energy, eV/atom: 0.670
Calculated total energy, eV/cell: -76.57



# 3
The following is a DFT calculation (PBE) of a relaxed Th4CdRe crystal.

Structure (POSCAR):
```
Th4CdRe
1.0
7.4863 0.0000 0.0000
0.0000 7.4863 0.0000
0.0000 0.0000 6.1172
Th Cd Re
8 2 2
Cartesian
1.0497 2.3792 0.0000
1.0497 5.1071 3.0586
2.3792 1.0497 3.0586
2.3792 6.4365 0.0000
5.1071 1.0497 0.0000
5.1071 6.4365 3.0586
6.4365 2.3792 3.0586
6.4365 5.1071 0.0000
3.7431 3.7431 1.5293
3.7431 3.7431 4.5879
0.0000 0.0000 1.5293
0.0000 0.0000 4.5879
```

Calculated values
Density, g/cm³: 11.88
Volume, Å³/atom: 28.569
Magnetization, μB per formula unit: 0.0
DOS(E_F), states/eV/f.u.: 8.05
Calculated formation energy, eV/atom: -0.074
Calculated total energy, eV/cell: -86.98



# 4
The following is a DFT calculation (PBE) of a relaxed Th2CdRe crystal.

Structure (POSCAR):
```
Th2CdRe
1.0
3.4700 0.0000 0.0000
0.0000 3.4700 0.0000
0.0000 0.0000 8.6913
Th Cd Re
2 1 1
Cartesian
0.0000 0.0000 1.8056
0.0000 0.0000 6.8857
1.7350 1.7350 4.3457
1.7350 1.7350 0.0000
```

Calculated values
Density, g/cm³: 12.10
Volume, Å³/atom: 26.163
Magnetization, μB per formula unit: 0.0
DOS(E_F), states/eV/f.u.: 3.75
Calculated formation energy, eV/atom: -0.038
Calculated total energy, eV/cell: -28.36



# 5
The following is a DFT calculation (PBE) of a relaxed Ti2CdRe crystal.

Structure (POSCAR):
```
Ti2CdRe
1.0
4.4902 0.0000 0.0000
0.0000 4.4902 0.0000
0.0000 0.0000 3.2905
Ti Cd Re
2 1 1
Cartesian
0.0000 2.2451 0.0000
2.2451 0.0000 0.0000
0.0000 0.0000 1.6452
2.2451 2.2451 1.6452
```

Calculated values
Density, g/cm³: 9.87
Volume, Å³/atom: 16.586
Magnetization, μB per formula unit: 0.0
DOS(E_F), states/eV/f.u.: 4.34
Calculated formation energy, eV/atom: -0.085
Calculated total energy, eV/cell: -29.49



# 6
The following is a DFT calculation (PBE) of a relaxed Ti2CdRe crystal.

Structure (POSCAR):
```
Ti2CdRe
1.0
7.2596 0.0000 0.0000
0.0000 7.2596 0.0000
0.0000 0.0000 5.5800
Ti Cd Re
8 4 4
Cartesian
1.5673 1.8149 0.6975
1.8149 5.1971 2.0925
1.8149 5.6923 4.8825
2.0625 1.8149 3.4875
5.1971 5.4447 3.4875
5.4447 1.5673 4.8825
5.4447 2.0625 2.0925
5.6923 5.4447 0.6975
0.0000 0.0000 2.7900
0.0000 3.6298 4.1850
3.6298 0.0000 1.3950
3.6298 3.6298 0.0000
0.0000 0.0000 0.0000
0.0000 3.6298 1.3950
3.6298 0.0000 4.1850
3.6298 3.6298 2.7900
```

Calculated values
Density, g/cm³: 8.91
Volume, Å³/atom: 18.380
Magnetization, μB per formula unit: 0.0
DOS(E_F), states/eV/f.u.: 4.22
Calculated formation energy, eV/atom: 0.431
Calculated total energy, eV/cell: -109.72



# 7
The following is a DFT calculation (PBE) of a relaxed Ti3CdRe crystal.

Structure (POSCAR):
```
Ti3CdRe
1.0
4.7851 0.0000 0.0000
0.0000 4.7851 0.0000
0.0000 0.0000 4.7851
Ti Cd Re
3 1 1
Cartesian
0.0000 0.0000 2.3925
0.0000 2.3925 0.0000
2.3925 0.0000 0.0000
2.3925 2.3925 2.3925
0.0000 0.0000 0.0000
```

Calculated values
Density, g/cm³: 6.70
Volume, Å³/atom: 21.913
Magnetization, μB per formula unit: 1.5
DOS(E_F), states/eV/f.u.: 5.08
Calculated formation energy, eV/atom: 0.552
Calculated total energy, eV/cell: -34.29



# 8
The following is a DFT calculation (PBE) of a relaxed TiCd3Re crystal.

Structure (POSCAR):
```
TiCd3Re
1.0
5.1166 0.0000 0.0000
0.0000 5.1166 0.0000
0.0000 0.0000 5.1166
Ti Cd Re
1 3 1
Cartesian
0.0000 0.0000 0.0000
0.0000 2.5583 2.5583
2.5583 0.0000 2.5583
2.5583 2.5583 0.0000
2.5583 2.5583 2.5583
```

Calculated values
Density, g/cm³: 7.08
Volume, Å³/atom: 26.789
Magnetization, μB per formula unit: 0.0
DOS(E_F), states/eV/f.u.: 11.99
Calculated formation energy, eV/atom: 1.416
Calculated total energy, eV/cell: -16.01



What is the density in the first record?
12.53 g/cm³



Which of these has the highest volume?
Th4CdRe